# 1
8
Lattice="5.590 0.000 0.000 0.000 5.042 0.000 0.000 0.000 4.695" Properties=species:S:1:pos:R:3 comment="ScAsPtO | OQMD via LeMat-Bulk | PBE-GGA | relaxed" magmom_total_mub_per_fu=0.000 volume_a3_per_atom=16.54 de_polymorph_mev_per_atom=226 pbc="T T T"
Sc 0.000 1.027 0.000
Sc 0.000 4.015 2.347
As 2.795 1.678 3.638
As 2.795 3.364 1.291
Pt 2.795 0.827 1.255
Pt 2.795 4.215 3.602
O 0.000 0.886 2.056
O 0.000 4.156 4.404

# 2
9
Lattice="3.956 0.000 0.000 0.000 6.541 3.777 0.000 -6.541 3.777" Properties=species:S:1:pos:R:3 comment="Tb2GdIn3Ni2Au | OQMD via LeMat-Bulk | PBE-GGA | relaxed" magmom_total_mub_per_fu=0.005 volume_a3_per_atom=21.72 e_tot_ev_per_cell=-41.5 pbc="T T T"
Tb 0.000 -3.859 3.777
Tb 0.000 3.859 3.777
Gd 0.000 0.000 2.910
In 1.978 0.000 0.500
In 1.978 -1.777 4.985
In 1.978 1.777 4.985
Ni 1.978 -2.185 2.230
Ni 1.978 2.185 2.230
Au 0.000 0.000 6.011

# 3
10
Lattice="0.000 5.513 5.513 5.513 0.000 5.513 5.513 5.513 0.000" Properties=species:S:1:pos:R:3 comment="Tl2HgTeCl6 | OQMD via LeMat-Bulk | PBE-GGA | relaxed" volume_a3_per_atom=33.52 e_tot_ev_per_cell=-25.7 pbc="T T T"
Tl 2.757 2.757 2.757
Tl 8.270 8.270 8.270
Hg 0.000 0.000 0.000
Te 5.513 5.513 5.513
Cl 5.513 5.513 2.907
Cl 5.513 2.907 5.513
Cl 8.120 5.513 5.513
Cl 2.907 5.513 5.513
Cl 5.513 8.120 5.513
Cl 5.513 5.513 8.120